[1]
DFT (PBE) results for a relaxed MgAsSCl2 crystal.

Values from the calculation:
**Uncorrected formation energy**: -0.318 eV per atom
**Spin magnetization**: 0.995 μB/cell
**Electronic total energy**: -15.655 eV for the cell shown

Structure (CIF):
```
data_MgAsSCl2
_cell_length_a 4.642
_cell_length_b 4.642
_cell_length_c 5.339
_cell_angle_alpha 90.00
_cell_angle_beta 90.00
_cell_angle_gamma 90.00
_space_group_name_H-M_alt 'P 4/m m m'
_space_group_IT_number 123
_space_group_name_Hall '-P 4 2'
loop_
_atom_site_label
_atom_site_fract_x
_atom_site_fract_y
_atom_site_fract_z
Mg1 0.000 0.000 0.000
As1 0.500 0.500 0.500
S1 0.000 0.000 0.500
Cl1 0.000 0.500 0.000
```

***

[2]
DFT (PBE) results for a relaxed UHgPt2 crystal.

Values from the calculation:
**Spin magnetization**: 6.279 μB/cell
**Energy of formation from the pure elements**: -438 meV per atom
**Electronic total energy**: -101.699 eV for the cell shown

Structure (CIF):
```
data_UHgPt2
_cell_length_a 6.818
_cell_length_b 6.818
_cell_length_c 6.818
_cell_angle_alpha 90.00
_cell_angle_beta 90.00
_cell_angle_gamma 90.00
_space_group_name_H-M_alt 'F m -3 m'
_space_group_IT_number 225
_space_group_name_Hall '-F 4 2 3'
loop_
_atom_site_label
_atom_site_fract_x
_atom_site_fract_y
_atom_site_fract_z
U1 0.000 0.000 0.000
Hg1 0.000 0.000 0.500
Pt1 0.250 0.250 0.250
```

***

Copy entry 2 word for word.
DFT (PBE) results for a relaxed UHgPt2 crystal.

Values from the calculation:
**Spin magnetization**: 6.279 μB/cell
**Energy of formation from the pure elements**: -438 meV per atom
**Electronic total energy**: -101.699 eV for the cell shown

Structure (CIF):
```
data_UHgPt2
_cell_length_a 6.818
_cell_length_b 6.818
_cell_length_c 6.818
_cell_angle_alpha 90.00
_cell_angle_beta 90.00
_cell_angle_gamma 90.00
_space_group_name_H-M_alt 'F m -3 m'
_space_group_IT_number 225
_space_group_name_Hall '-F 4 2 3'
loop_
_atom_site_label
_atom_site_fract_x
_atom_site_fract_y
_atom_site_fract_z
U1 0.000 0.000 0.000
Hg1 0.000 0.000 0.500
Pt1 0.250 0.250 0.250
```